# PmTlRhAu | Alexandria via LeMat-Bulk | PBE | optimized geometry
# Total magnetic moment = 0.00 μB per cell
# Formation enthalpy at 0 K = -389 meV per atom
data_PmTlRhAu
_cell_length_a 7.005
_cell_length_b 7.005
_cell_length_c 7.005
_cell_angle_alpha 90.00
_cell_angle_beta 90.00
_cell_angle_gamma 90.00
_space_group_name_H-M_alt 'P 1'
_space_group_IT_number 1
loop_
_space_group_symop_operation_xyz
'x,y,z'
loop_
_atom_site_label
_atom_site_fract_x
_atom_site_fract_y
_atom_site_fract_z
Pm1 0.000 0.000 0.000
Pm2 0.000 0.500 0.500
Pm3 0.500 0.000 0.500
Pm4 0.500 0.500 0.000
Tl1 0.000 0.000 0.500
Tl2 0.000 0.500 0.000
Tl3 0.500 0.000 0.000
Tl4 0.500 0.500 0.500
Rh1 0.250 0.250 0.250
Rh2 0.250 0.750 0.750
Rh3 0.750 0.250 0.750
Rh4 0.750 0.750 0.250
Au1 0.250 0.250 0.750
Au2 0.250 0.750 0.250
Au3 0.750 0.250 0.250
Au4 0.750 0.750 0.750


# Pm2RuAu | Alexandria via LeMat-Bulk | PBE | optimized geometry
# Total magnetic moment = 0.00 μB per cell
# Formation enthalpy at 0 K = -515 meV per atom
# Distance to the lowest polymorph of the same formula = 0.000 eV per atom
data_Pm2RuAu
_cell_length_a 3.520
_cell_length_b 3.520
_cell_length_c 7.503
_cell_angle_alpha 90.00
_cell_angle_beta 90.00
_cell_angle_gamma 90.00
_space_group_name_H-M_alt 'P 1'
_space_group_IT_number 1
loop_
_space_group_symop_operation_xyz
'x,y,z'
loop_
_atom_site_label
_atom_site_fract_x
_atom_site_fract_y
_atom_site_fract_z
Pm1 0.000 0.000 0.231
Pm2 0.000 0.000 0.769
Ru1 0.500 0.500 0.000
Au1 0.500 0.500 0.500